# LuScZn2 | Alexandria via LeMat-Bulk | SCAN | single point on PBEsol structure
data_LuScZn2
_symmetry_space_group_name_H-M 'F m -3 m'
_symmetry_Int_Tables_number 225
_symmetry_space_group_name_Hall '-F 4 2 3'
_cell_length_a 6.731
_cell_length_b 6.731
_cell_length_c 6.731
_cell_angle_alpha 90.00
_cell_angle_beta 90.00
_cell_angle_gamma 90.00
loop_
_atom_site_label
_atom_site_type_symbol
_atom_site_fract_x
_atom_site_fract_y
_atom_site_fract_z
Lu1 Lu 0.000 0.000 0.000
Sc1 Sc 0.000 0.000 0.500
Zn1 Zn 0.250 0.250 0.250
# Spin magnetization, μB per atom: 0.00
# Calculated total energy, eV/atom: -24.610
# Energy of formation from the pure elements, eV/atom: -0.457

# NiPb2Se | Alexandria via LeMat-Bulk | SCAN | single point on PBEsol structure
data_NiPb2Se
_symmetry_space_group_name_H-M 'P 4/m m m'
_symmetry_Int_Tables_number 123
_symmetry_space_group_name_Hall '-P 4 2'
_cell_length_a 5.016
_cell_length_b 5.016
_cell_length_c 3.494
_cell_angle_alpha 90.00
_cell_angle_beta 90.00
_cell_angle_gamma 90.00
loop_
_atom_site_label
_atom_site_type_symbol
_atom_site_fract_x
_atom_site_fract_y
_atom_site_fract_z
Ni1 Ni 0.000 0.000 0.000
Pb1 Pb 0.000 0.500 0.500
Se1 Se 0.500 0.500 0.000
# Raw formation energy, meV/atom: 278.4
# Spin magnetization, μB per atom: 0.00
# Calculated total energy, eV/atom: -46.675